Density functional theory data (PBE) for a geometry-optimized Zr2ScSe4 structure.

## Properties
Its space group is Cmcm. The value obtained for the density is 5.8 g/cm3. As for the uncorrected formation energy: -129 kJ per mole of atoms.

extended XYZ file:
```
14
Lattice="3.663 0.000 0.000 -1.831 6.221 0.000 0.000 0.000 13.727" Properties=species:S:1:pos:R:3 pbc="T T T"
Zr 0.000 1.846 6.038
Zr 1.831 4.375 12.902
Zr 0.000 1.846 0.825
Zr 1.831 4.375 7.689
Sc 1.831 1.356 10.295
Sc 0.000 4.864 3.432
Se 1.831 3.631 1.770
Se 1.831 3.631 5.094
Se 0.000 2.590 11.958
Se 0.000 2.590 8.633
Se 1.831 5.586 10.295
Se 0.000 0.635 3.432
Se 1.831 0.000 0.000
Se 1.831 0.000 6.864
```